(1)
This record from Alexandria via LeMat-Bulk describes LiBeSi2 after structural relaxation. The functional is PBEsol.

Results
SG = I-4m2, No. 119
ΔE_f (raw) = 116 meV/atom

a = 3.578 Å, b = 3.578 Å, c = 4.552 Å
α = 113.15°, β = 113.15°, γ = 90.00°
Sites, in units of the cell vectors:
1 Be 0.500 0.500 0.000
2 Si 0.000 0.000 0.000
3 Si 0.250 0.750 0.500
4 Li 0.750 0.250 0.500

=====

(2)
This record from Alexandria via LeMat-Bulk describes K2MnAuS after structural relaxation. The functional is PBEsol.

Results
SG = P4/mmm, No. 123
ΔE_f (raw) = 46 meV/atom

a = 4.263 Å, b = 6.329 Å, c = 6.329 Å
α = 90.00°, β = 90.00°, γ = 90.00°
Sites, in units of the cell vectors:
1 K 0.000 0.000 0.500
2 K 0.000 0.500 0.000
3 Mn 0.000 0.000 0.000
4 Au 0.500 0.500 0.500
5 S 0.500 0.000 0.000

=====

| no. | calculated volume (A^3/atom) | raw total energy (Ry/atom) |
| --- | --- | --- |
| 1 | 12.11 | -0.3123 |
| 2 | 34.15 | -0.2956 |